Entry from Alexandria: a relaxed structure of Sm2PuH8 (PBE).

Crystal system: orthorhombic
Space group: Immm
Raw total energy (eV per atom): -5.132

Unit cell a=3.720 b=5.396 c=6.454 alpha=114.71 beta=106.75 gamma=90.00
Element x y z (fractional)
Pu1 0.500 0.000 0.000
H1 0.341 0.102 0.682
H2 0.659 0.898 0.318
H3 0.156 0.156 0.312
H4 0.000 0.267 0.000
Sm1 0.830 0.330 0.659
H5 0.844 0.844 0.688
H6 0.000 0.733 0.000
H7 0.659 0.420 0.318
H8 0.341 0.580 0.682
Sm2 0.170 0.670 0.341